1.
The following is a DFT calculation (PBE-GGA) of crystalline Ac2Ge3Pd12Rh at its relaxed geometry.

a = 8.5030 Å, b = 8.5030 Å, c = 18.0774 Å
α = 90.00°, β = 90.00°, γ = 120.00°
Space group R-3m (No. 166, hexagonal axes)
Symmetry-distinct sites (fractional):
Ac1 0.0000 0.0000 0.1150 (multiplicity 6)
Ge1 0.0000 0.5000 0.0000 (multiplicity 9)
Pd1 0.0054 0.5027 0.8682 (multiplicity 18)
Pd2 0.0273 0.5136 0.3701 (multiplicity 18)
Rh1 0.0000 0.0000 0.5000 (multiplicity 3)

Results
**Electronic total energy**: -5.28 eV per atom
**Energy of formation from the pure elements**: -0.187 eV per atom
**N(E_F)**: 30.76 states/eV/cell
**ρ**: 9.03 g cm⁻³


2.
The following is a DFT calculation (PBE-GGA) of crystalline Ac2Ge4PdRh3 at its relaxed geometry.

a = 4.4305 Å, b = 4.4305 Å, c = 10.1932 Å
α = 90.00°, β = 90.00°, γ = 90.00°
Space group P-4m2 (No. 115)
Symmetry-distinct sites (fractional):
Ac1 0.0000 0.5000 0.2447 (multiplicity 2)
Ge1 0.0000 0.0000 0.0000 (multiplicity 1)
Ge2 0.0000 0.5000 0.6277 (multiplicity 2)
Ge3 0.5000 0.5000 0.0000 (multiplicity 1)
Pd1 0.0000 0.0000 0.5000 (multiplicity 1)
Rh1 0.0000 0.5000 0.8757 (multiplicity 2)
Rh2 0.5000 0.5000 0.5000 (multiplicity 1)

Results
**Electronic total energy**: -6.22 eV per atom
**Energy of formation from the pure elements**: -0.822 eV per atom
**N(E_F)**: 8.89 states/eV/cell
**ρ**: 9.62 g cm⁻³


3.
The following is a DFT calculation (PBE-GGA) of crystalline AcGe2PdRu at its relaxed geometry.

a = 4.2829 Å, b = 4.2829 Å, c = 11.0603 Å
α = 90.00°, β = 90.00°, γ = 90.00°
Space group I-4m2 (No. 119)
Symmetry-distinct sites (fractional):
Ac1 0.0000 0.0000 0.0000 (multiplicity 2)
Ge1 0.0000 0.0000 0.3693 (multiplicity 4)
Pd1 0.0000 0.5000 0.7500 (multiplicity 2)
Ru1 0.0000 0.5000 0.2500 (multiplicity 2)

Results
**Electronic total energy**: -6.24 eV per atom
**Energy of formation from the pure elements**: -0.678 eV per atom
**N(E_F)**: 4.59 states/eV/cell
**ρ**: 9.49 g cm⁻³


4.
The following is a DFT calculation (PBE-GGA) of crystalline Ac2GePdS6 at its relaxed geometry.

a = 6.3422 Å, b = 7.6956 Å, c = 11.3432 Å
α = 90.00°, β = 123.82°, γ = 90.00°
Space group P2_1/c (No. 14)
Symmetry-distinct sites (fractional):
Ac1 0.1971 0.1093 0.2449 (multiplicity 4)
Ge1 0.0000 0.0000 0.5000 (multiplicity 2)
Pd1 0.5000 0.0000 0.0000 (multiplicity 2)
S1 0.1470 0.1788 0.9572 (multiplicity 4)
S2 0.2663 0.6649 0.9651 (multiplicity 4)
S3 0.3524 0.0129 0.7546 (multiplicity 4)

Results
**Electronic total energy**: -5.47 eV per atom
**ρ**: 5.96 g cm⁻³
**Energy relative to the elements, uncorrected**: -1148.9 kJ/mol of formula units


5.
The following is a DFT calculation (PBE-GGA) of crystalline Ac2Ge3SbPd4 at its relaxed geometry.

a = 4.5423 Å, b = 4.5423 Å, c = 10.4764 Å
α = 90.00°, β = 90.00°, γ = 90.00°
Space group P-4m2 (No. 115)
Symmetry-distinct sites (fractional):
Ac1 0.0000 0.5000 0.2400 (multiplicity 2)
Ge1 0.0000 0.5000 0.8796 (multiplicity 2)
Ge2 0.5000 0.5000 0.5000 (multiplicity 1)
Sb1 0.0000 0.0000 0.5000 (multiplicity 1)
Pd1 0.0000 0.0000 0.0000 (multiplicity 1)
Pd2 0.0000 0.5000 0.6376 (multiplicity 2)
Pd3 0.5000 0.5000 0.0000 (multiplicity 1)

Results
**Electronic total energy**: -5.52 eV per atom
**N(E_F)**: 6.65 states/eV/cell
**ρ**: 9.37 g cm⁻³
**Energy relative to the elements, uncorrected**: -794.2 kJ/mol of formula units


6.
The following is a DFT calculation (PBE-GGA) of crystalline Ac2GeSbPd6 at its relaxed geometry.

a = 5.6536 Å, b = 6.7178 Å, c = 7.0749 Å
α = 77.04°, β = 66.52°, γ = 65.25°
Space group P-1 (No. 2)
Symmetry-distinct sites (fractional):
Ac1 0.2492 0.2793 0.2239 (multiplicity 2)
Ge1 0.5000 0.5000 0.5000 (multiplicity 1)
Sb1 0.0000 0.0000 0.0000 (multiplicity 1)
Pd1 0.2520 0.2613 0.7391 (multiplicity 2)
Pd2 0.2525 0.7389 0.2605 (multiplicity 2)
Pd3 0.2524 0.8967 0.5972 (multiplicity 2)

Results
**Electronic total energy**: -5.56 eV per atom
**N(E_F)**: 4.91 states/eV/cell
**ρ**: 9.57 g cm⁻³
**Energy relative to the elements, uncorrected**: -720.4 kJ/mol of formula units


> Among the records above, which one has the lowest ρ?

Ac2GePdS6


> ρ of number 3 (AcGe2PdRu)?

9.49 g cm⁻³


Please write out number 1 again, unchanged.
The following is a DFT calculation (PBE-GGA) of crystalline Ac2Ge3Pd12Rh at its relaxed geometry.

a = 8.5030 Å, b = 8.5030 Å, c = 18.0774 Å
α = 90.00°, β = 90.00°, γ = 120.00°
Space group R-3m (No. 166, hexagonal axes)
Symmetry-distinct sites (fractional):
Ac1 0.0000 0.0000 0.1150 (multiplicity 6)
Ge1 0.0000 0.5000 0.0000 (multiplicity 9)
Pd1 0.0054 0.5027 0.8682 (multiplicity 18)
Pd2 0.0273 0.5136 0.3701 (multiplicity 18)
Rh1 0.0000 0.0000 0.5000 (multiplicity 3)

Results
**Electronic total energy**: -5.28 eV per atom
**Energy of formation from the pure elements**: -0.187 eV per atom
**N(E_F)**: 30.76 states/eV/cell
**ρ**: 9.03 g cm⁻³